A plane-wave DFT calculation with PBE was carried out for a relaxed AlSiAu2 crystal.

Calculated values
The calculation puts the uncorrected formation energy at -0.05 eV per atom. The value obtained for the energy relative to the lowest polymorph listed for this composition is 0.16 eV/f.u. The value obtained for the volume is 17.25 A^3/atom.

```
4
Lattice="1.591 0.919 7.869 -1.591 0.919 7.869 0.000 -1.837 7.869" Properties=species:S:1:pos:R:3 pbc="T T T"
Al 0.000 0.000 0.000
Si 0.000 0.000 11.803
Au 0.000 0.000 5.877
Au 0.000 0.000 17.730
```


A plane-wave DFT calculation with PBE was carried out for a relaxed Al2SiAu crystal.

Calculated values
The calculation puts the uncorrected formation energy at 0.02 eV per atom. The value obtained for the volume is 16.76 A^3/atom.

```
4
Lattice="4.982 0.000 0.000 0.000 4.982 0.000 0.000 0.000 2.701" Properties=species:S:1:pos:R:3 pbc="T T T"
Al 0.000 2.491 0.000
Al 2.491 0.000 0.000
Si 0.000 0.000 1.351
Au 2.491 2.491 1.351
```


A plane-wave DFT calculation with PBE was carried out for a relaxed Al2SiAu crystal.

Calculated values
The calculation puts the uncorrected formation energy at -0.06 eV per atom. The value obtained for the volume is 17.48 A^3/atom.

```
4
Lattice="3.846 0.000 0.000 0.000 4.131 0.000 -1.910 0.000 4.402" Properties=species:S:1:pos:R:3 pbc="T T T"
Al 0.000 0.000 0.000
Al 0.005 2.065 2.261
Si 1.918 0.000 1.904
Au 1.932 2.065 0.373
```